VASP calculation (PBE) on VReMo2 after structural relaxation.

Lattice parameters (Å, degrees): 5.6332 5.6332 5.6332 102.38 102.38 124.83
Positions (direct):
V (0.0000, 0.0000, 0.0000)
V (0.7500, 0.2500, 0.5000)
Re (0.2500, 0.7500, 0.5000)
Re (0.5000, 0.5000, 0.0000)
Mo (0.1285, 0.6250, 0.0035)
Mo (0.3750, 0.3785, 0.5035)
Mo (0.6215, 0.1250, 0.9965)
Mo (0.8750, 0.8715, 0.4965)

Results
- ΔH_f (0 K): 729 meV per atom
- Distance to the lowest polymorph of the same formula: 862 meV per atom



VASP calculation (PBE) on TbNdCoCu after structural relaxation.

Lattice parameters (Å, degrees): 4.3283 5.5166 5.5166 41.05 90.00 90.00
Positions (direct):
Tb (0.0000, 0.0000, 0.0000)
Nd (0.5000, 0.2805, 0.2805)
Co (0.5000, 0.5650, 0.5650)
Cu (0.0000, 0.7026, 0.7026)

Results
- ΔH_f (0 K): -146 meV per atom
- Distance to the lowest polymorph of the same formula: 0 meV per atom



VASP calculation (PBE) on Ce2Ho2Ru3 after structural relaxation.

Lattice parameters (Å, degrees): 4.6519 4.6600 8.4474 103.29 95.06 114.89
Positions (direct):
Ce (0.1192, 0.2427, 0.3619)
Ce (0.8808, 0.7573, 0.6381)
Ho (0.3706, 0.7480, 0.1185)
Ho (0.6294, 0.2520, 0.8815)
Ru (0.2272, 0.5095, 0.7362)
Ru (0.5000, 0.0000, 0.5000)
Ru (0.7728, 0.4905, 0.2638)

Results
- ΔH_f (0 K): -354 meV per atom
- Distance to the lowest polymorph of the same formula: 0 meV per atom



VASP calculation (PBE) on KSn3Te3 after structural relaxation.

Lattice parameters (Å, degrees): 8.6848 8.6848 8.6848 66.89 66.89 66.89
Positions (direct):
K (0.1703, 0.1703, 0.1703)
K (0.8298, 0.8298, 0.8298)
Sn (0.0754, 0.3517, 0.7510)
Sn (0.2490, 0.9246, 0.6483)
Sn (0.3517, 0.7510, 0.0754)
Sn (0.6483, 0.2490, 0.9246)
Sn (0.7510, 0.0754, 0.3517)
Sn (0.9246, 0.6483, 0.2490)
Te (0.1048, 0.6924, 0.4491)
Te (0.3076, 0.5509, 0.8951)
Te (0.4491, 0.1048, 0.6924)
Te (0.5509, 0.8951, 0.3076)
Te (0.6924, 0.4491, 0.1048)
Te (0.8952, 0.3076, 0.5509)

Results
- Formation energy without anion corrections: -0.263 eV/atom
- Distance to the lowest polymorph of the same formula: 0 meV per atom



VASP calculation (PBE) on KPa3O7 after structural relaxation.

Lattice parameters (Å, degrees): 7.5579 7.5579 4.2278 90.00 90.00 125.02
Positions (direct):
K (0.0000, 0.0000, 0.0000)
Pa (0.2354, 0.7646, 0.0000)
Pa (0.5000, 0.5000, 0.0000)
Pa (0.7646, 0.2354, 0.0000)
O (0.1545, 0.4239, 0.0000)
O (0.2041, 0.7959, 0.5000)
O (0.4239, 0.1545, 0.0000)
O (0.5000, 0.5000, 0.5000)
O (0.5761, 0.8455, 0.0000)
O (0.7959, 0.2041, 0.5000)
O (0.8455, 0.5761, 0.0000)

Results
- Formation energy without anion corrections: -3.043 eV/atom



VASP calculation (PBE) on Ce2HoRh2 after structural relaxation.

Lattice parameters (Å, degrees): 7.7428 7.7428 3.8500 90.00 90.00 90.00
Positions (direct):
Ce (0.1641, 0.3359, 0.0000)
Ce (0.3359, 0.8359, 0.0000)
Ce (0.6641, 0.1641, 0.0000)
Ce (0.8359, 0.6641, 0.0000)
Ho (0.0000, 0.0000, 0.5000)
Ho (0.5000, 0.5000, 0.5000)
Rh (0.1413, 0.6413, 0.5000)
Rh (0.3587, 0.1413, 0.5000)
Rh (0.6413, 0.8587, 0.5000)
Rh (0.8587, 0.3587, 0.5000)

Results
- ΔH_f (0 K): -646 meV per atom
- Distance to the lowest polymorph of the same formula: 0 meV per atom



VASP calculation (PBE) on RbH3O2 after structural relaxation.

Lattice parameters (Å, degrees): 6.1002 6.1002 6.0414 90.00 90.00 139.39
Positions (direct):
Rb (0.1542, 0.8458, 0.5000)
Rb (0.8458, 0.1542, 0.0000)
H (0.0861, 0.3022, 0.5209)
H (0.3022, 0.0861, 0.0209)
H (0.4886, 0.5114, 0.7229)
H (0.5114, 0.4886, 0.2229)
H (0.6978, 0.9139, 0.5209)
H (0.9139, 0.6978, 0.0209)
O (0.1605, 0.8395, 0.9926)
O (0.4697, 0.5303, 0.5646)
O (0.5303, 0.4697, 0.0646)
O (0.8395, 0.1605, 0.4926)

Results
- Uncorrected energy: -4.73 eV/atom



VASP calculation (PBE) on NbInIrRh after structural relaxation.

Lattice parameters (Å, degrees): 4.8056 4.8056 4.8056 128.48 128.48 75.84
Positions (direct):
Nb (0.0000, 0.0000, 0.0000)
In (0.5000, 0.5000, 0.0000)
Ir (0.2500, 0.7500, 0.5000)
Rh (0.7500, 0.2500, 0.5000)

Results
- ΔH_f (0 K): -389 meV per atom
- Distance to the lowest polymorph of the same formula: 0 meV per atom